(1)
BaInTc2: PBEsol geometry, SCAN.

Cell lengths 3.1099, 4.2938, 6.9198 Å; angles 90.00, 90.00, 90.00 degrees
With the nearest neighbours (Å) after each atom.
Space group Pmmm (No. 47)
Inequivalent atoms, fractional coordinates:
Ba: 0.0000 0.0000 0.0000 x1  2 Ba 3.11, 2 In 3.46
In: 0.0000 0.0000 0.5000 x1  8 Tc 2.86, 2 In 3.11
Tc: 0.5000 0.5000 0.3439 x2  1 Tc 2.16

Computed properties:
DOS(E_F): 3.93 states/eV/f.u.
Formation enthalpy at 0 K: 0.596 eV/atom
Polymorph energy (0 for the lowest one): 447 meV per atom



(2)
Ba2InTc: PBEsol geometry, SCAN.

Cell lengths 3.4926, 3.4926, 9.8238 Å; angles 90.00, 90.00, 90.00 degrees
With the nearest neighbours (Å) after each atom.
Space group P4/mmm (No. 123)
Inequivalent atoms, fractional coordinates:
Ba: 0.0000 0.0000 0.2183 x2  4 Tc 3.27, 4 Ba 3.49
In: 0.5000 0.5000 0.5000 x1  4 In 3.49, 8 Ba 3.71
Tc: 0.5000 0.5000 0.0000 x1  8 Ba 3.27, 4 Tc 3.49

Computed properties:
DOS(E_F): 4.19 states/eV/f.u.
Formation enthalpy at 0 K: 0.553 eV/atom
Polymorph energy (0 for the lowest one): 0 meV per atom



(3)
BaInTc: PBEsol geometry, SCAN.

Cell lengths 3.4627, 3.4627, 7.2649 Å; angles 90.00, 90.00, 120.00 degrees
With the nearest neighbours (Å) after each atom.
Space group P3m1 (No. 156)
Inequivalent atoms, fractional coordinates:
Ba: 0.0000 0.0000 0.0000 x1  3 Tc 3.09, 6 Ba 3.46
In: 0.3333 0.6667 0.5804 x1  3 Tc 2.73
Tc: 0.6667 0.3333 0.3251 x1  3 In 2.73

Computed properties:
DOS(E_F): 2.74 states/eV/f.u.
Formation enthalpy at 0 K: 0.778 eV/atom
Polymorph energy (0 for the lowest one): 315 meV per atom